MgBe | GGA-PBE | relaxed

a = 6.4076 Å, b = 7.4218 Å, c = 2.9135 Å
α = 90.00°, β = 116.01°, γ = 90.00°
Atoms (fractional coordinates):
Mg (0.0000, 0.1996, 0.0000)
Mg (0.0000, 0.8004, 0.0000)
Mg (0.5000, 0.3004, 0.0000)
Mg (0.5000, 0.6996, 0.0000)
Be (0.0711, 0.5000, 0.5590)
Be (0.2864, 0.0000, 0.7806)
Be (0.5711, 0.0000, 0.5590)
Be (0.7864, 0.5000, 0.7806)

Calculated values
Volume = 15.56 Å³/atom
Calculated total energy = -2.297 eV per atom
Total magnetic moment = 0.00 μB per formula unit
Offset from the most stable computed form = 0.30 eV/f.u.
DOS(E_F) = 0.977 states/eV/cell

=====

U2ClF8 | GGA-PBE | relaxed

a = 7.5265 Å, b = 7.5265 Å, c = 4.4505 Å
α = 95.38°, β = 95.38°, γ = 58.87°
Atoms (fractional coordinates):
U (0.2101, 0.2101, 0.0893)
U (0.7899, 0.7899, 0.9107)
Cl (0.0000, 0.0000, 0.0000)
F (0.1022, 0.5296, 0.8342)
F (0.1659, 0.1659, 0.5725)
F (0.3494, 0.3494, 0.3286)
F (0.4704, 0.8978, 0.1658)
F (0.5296, 0.1022, 0.8342)
F (0.6506, 0.6506, 0.6714)
F (0.8341, 0.8341, 0.4275)
F (0.8978, 0.4704, 0.1658)

Calculated values
Volume = 19.51 Å³/atom
Calculated total energy = -6.873 eV per atom
Total magnetic moment = 3.00 μB per formula unit
Formation energy (no corrections) = -3.29 eV/atom
DOS(E_F) = 8.029 states/eV/cell

=====

Tl2SiSe | GGA-PBE | relaxed

a = 3.8592 Å, b = 3.5182 Å, c = 8.2529 Å
α = 90.00°, β = 103.51°, γ = 90.00°
Atoms (fractional coordinates):
Tl (0.0000, 0.0000, 0.0000)
Tl (0.3427, 0.5000, 0.6885)
Si (0.6052, 0.5000, 0.2096)
Se (0.7067, 0.0000, 0.4161)

Calculated values
Volume = 27.24 Å³/atom
Calculated total energy = -3.362 eV per atom
Total magnetic moment = 0.00 μB per formula unit
Offset from the most stable computed form = 0.11 eV/f.u.
Formation energy (no corrections) = 0.05 eV/atom
DOS(E_F) = 1.415 states/eV/cell

=====

PmErPt6 | GGA-PBE | relaxed

a = 4.1415 Å, b = 4.1415 Å, c = 8.2804 Å
α = 90.00°, β = 90.00°, γ = 90.00°
Atoms (fractional coordinates):
Pm (0.0000, 0.0000, 0.0000)
Er (0.0000, 0.0000, 0.5000)
Pt (0.0000, 0.5000, 0.2564)
Pt (0.0000, 0.5000, 0.7436)
Pt (0.5000, 0.0000, 0.2564)
Pt (0.5000, 0.0000, 0.7436)
Pt (0.5000, 0.5000, 0.0000)
Pt (0.5000, 0.5000, 0.5000)

Calculated values
Volume = 17.75 Å³/atom
Calculated total energy = -6.681 eV per atom
Total magnetic moment = 0.00 μB per formula unit
DOS(E_F) = 7.406 states/eV/cell

=====

La5PmBi6 | GGA-PBE | relaxed

a = 8.1146 Å, b = 8.1146 Å, c = 8.1146 Å
α = 99.60°, β = 99.60°, γ = 119.99°
Atoms (fractional coordinates):
La (0.0000, 0.0000, 0.0000)
La (0.1664, 0.8336, 0.5000)
La (0.3324, 0.6676, 0.0000)
La (0.6676, 0.3324, 0.0000)
La (0.8336, 0.1664, 0.5000)
Pm (0.5000, 0.5000, 0.5000)
Bi (0.0873, 0.4175, 0.2523)
Bi (0.2530, 0.2530, 0.7486)
Bi (0.4175, 0.0873, 0.2523)
Bi (0.5825, 0.9127, 0.7477)
Bi (0.7470, 0.7470, 0.2514)
Bi (0.9127, 0.5825, 0.7477)

Calculated values
Volume = 36.36 Å³/atom
Calculated total energy = -5.426 eV per atom
Total magnetic moment = 0.00 μB per formula unit
DOS(E_F) = 1.174 states/eV/cell

=====

VTeMoN2 | GGA-PBE | relaxed

a = 3.9229 Å, b = 3.9229 Å, c = 5.6785 Å
α = 90.00°, β = 90.00°, γ = 90.00°
Atoms (fractional coordinates):
V (0.0000, 0.0000, 0.0000)
Te (0.5000, 0.5000, 0.0000)
Mo (0.5000, 0.5000, 0.5000)
N (0.0000, 0.5000, 0.5000)
N (0.5000, 0.0000, 0.5000)

Calculated values
Volume = 17.48 Å³/atom
Calculated total energy = -7.132 eV per atom
Total magnetic moment = 0.62 μB per formula unit
Offset from the most stable computed form = 0.00 eV/f.u.
Formation energy (no corrections) = 0.82 eV/atom
DOS(E_F) = 7.776 states/eV/cell